Record 1
GaPBrCl2 | PBE | optimized geometry

Cell and atoms, written as POSCAR:
```
GaPBrCl2
1.0
-2.671 -3.072 -4.410
5.353 -1.963 -1.875
-0.370 -3.659 2.773
P Ga Br Cl
1 1 1 2
direct
0.000 0.000 0.500 P
0.500 0.500 0.500 Ga
0.000 0.000 0.000 Br
0.000 0.500 0.000 Cl
0.500 0.000 0.000 Cl
```

Energy relative to the elements, uncorrected (meV/atom): 469
Space-group type: P4/mmm (123)

Record 2
Ga2PbBr2Cl2 | PBE | optimized geometry

Cell and atoms, written as POSCAR:
```
Ga2PbBr2Cl2
1.0
-1.948 -3.723 -0.293
1.545 -3.689 6.597
-4.884 2.103 5.918
Ga Pb Br Cl
2 1 2 2
direct
0.864 0.268 0.440 Ga
0.136 0.732 0.560 Ga
0.000 0.000 0.000 Pb
0.783 0.434 0.733 Br
0.217 0.566 0.267 Br
0.520 0.959 0.764 Cl
0.480 0.041 0.236 Cl
```

Energy relative to the elements, uncorrected (meV/atom): -776
Space-group type: P-1 (2)

Record 3
Ga2PbBr6Cl2 | PBE | optimized geometry

Cell and atoms, written as POSCAR:
```
Ga2PbBr6Cl2
1.0
7.009 0.000 0.000
-3.505 6.070 0.000
0.000 0.000 10.116
Ga Pb Br Cl
2 1 6 2
direct
0.333 0.667 0.737 Ga
0.667 0.333 0.263 Ga
0.000 0.000 0.000 Pb
0.354 0.357 0.822 Br
0.003 0.646 0.822 Br
0.643 0.997 0.822 Br
0.646 0.643 0.178 Br
0.997 0.354 0.178 Br
0.357 0.003 0.178 Br
0.333 0.667 0.526 Cl
0.667 0.333 0.474 Cl
```

Energy relative to the elements, uncorrected (meV/atom): -908
Space-group type: P-3 (147)

Record 4
Pr4GaBr2Cl | PBE | optimized geometry

Cell and atoms, written as POSCAR:
```
Pr4GaBr2Cl
1.0
4.321 0.000 0.000
0.000 7.045 -0.026
0.000 -2.611 7.517
Pr Ga Br Cl
4 1 2 1
direct
0.500 0.232 0.209 Pr
0.500 0.768 0.791 Pr
0.000 0.256 0.785 Pr
0.000 0.744 0.215 Pr
0.500 0.500 0.000 Ga
0.500 0.000 0.500 Br
0.000 0.500 0.500 Br
0.000 0.000 0.000 Cl
```

Energy relative to the elements, uncorrected (meV/atom): -1105
Space-group type: P2/m (10)